# RbMoPO2

A geometry-optimized RbMoPO2 structure (PBE with a Hubbard U, Alexandria).

Cell lengths 4.1744, 4.1744, 6.8556 Å; angles 90.00, 90.00, 90.00 degrees
Fractional positions:
Mo (0.5000, 0.5000, 0.5000)
Rb (0.0000, 0.0000, 0.0000)
O (0.0000, 0.5000, 0.0000)
O (0.5000, 0.0000, 0.0000)
P (0.0000, 0.0000, 0.5000)

Results
V = 23.9 Å³ per atom
DFT total energy = -3.39 eV per atom
relative energy among the computed polymorphs = 1933 meV per atom